# 1
Entry from the Alexandria database: an optimized crystal structure of Pm4PrNd2Sm2 (PBE).

symmetry: No. 12

abc: 9.7571 9.7571 9.8184
angles: 115.19 115.19 21.80
Last column: nearest neighbours and their distance in Å.
Positions (direct):
Pm: 0.0186 0.0186 0.3344  5 Pm 3.62-3.69, 4 Sm 3.63-3.69, 1 Nd 3.65, 2 Pr 3.65
Pm: 0.3146 0.3146 0.6665  6 Pm 3.63-3.69, 3 Sm 3.64-3.68, 1 Pr 3.64, 2 Nd 3.64
Pm: 0.6854 0.6854 0.3335  6 Pm 3.63-3.69, 3 Sm 3.64-3.68, 1 Pr 3.64, 2 Nd 3.64
Pm: 0.9814 0.9814 0.6656  5 Pm 3.62-3.69, 4 Sm 3.63-3.69, 1 Nd 3.65, 2 Pr 3.65
Pr: 0.5000 0.5000 0.0000  6 Pm 3.64-3.65, 2 Pr 3.69, 4 Nd 3.69
Nd: 0.1670 0.1670 0.9996  3 Sm 3.63-3.64, 3 Pm 3.64-3.65, 4 Nd 3.68-3.69, 2 Pr 3.69
Nd: 0.8330 0.8330 0.0004  3 Sm 3.63-3.64, 3 Pm 3.64-3.65, 4 Nd 3.68-3.69, 2 Pr 3.69
Sm: 0.3518 0.3518 0.3333  7 Pm 3.63-3.69, 3 Nd 3.63-3.64, 2 Sm 3.69
Sm: 0.6482 0.6482 0.6667  7 Pm 3.63-3.69, 3 Nd 3.63-3.64, 2 Sm 3.69


# 2
Entry from the Alexandria database: an optimized crystal structure of PmPr6Nd2Sm3 (PBE).

symmetry: No. 12

abc: 6.3905 6.3905 12.1798
angles: 95.04 95.04 120.01
Last column: nearest neighbours and their distance in Å.
Positions (direct):
Pm: 0.0000 0.0000 0.0000  6 Pr 3.69, 6 Nd 3.69
Pr: 0.0838 0.4168 0.2512  3 Sm 3.66-3.67, 6 Pr 3.69, 1 Pm 3.69, 2 Nd 3.69
Pr: 0.2496 0.2496 0.7489  3 Sm 3.66-3.67, 6 Pr 3.69, 2 Nd 3.69, 1 Pm 3.69
Pr: 0.4168 0.0838 0.2512  3 Sm 3.66-3.67, 6 Pr 3.69, 1 Pm 3.69, 2 Nd 3.69
Pr: 0.5832 0.9162 0.7488  3 Sm 3.66-3.67, 6 Pr 3.69, 1 Pm 3.69, 2 Nd 3.69
Pr: 0.7504 0.7504 0.2511  3 Sm 3.66-3.67, 6 Pr 3.69, 2 Nd 3.69, 1 Pm 3.69
Pr: 0.9162 0.5832 0.7488  3 Sm 3.66-3.67, 6 Pr 3.69, 1 Pm 3.69, 2 Nd 3.69
Nd: 0.3332 0.6668 0.0000  3 Nd 3.69, 3 Pm 3.69, 6 Pr 3.69
Nd: 0.6668 0.3332 0.0000  3 Nd 3.69, 3 Pm 3.69, 6 Pr 3.69
Sm: 0.1665 0.8335 0.5000  6 Pr 3.66-3.67, 6 Sm 3.69
Sm: 0.5000 0.5000 0.5000  6 Pr 3.66-3.67, 6 Sm 3.69
Sm: 0.8335 0.1665 0.5000  6 Pr 3.66-3.67, 6 Sm 3.69


# 3
Entry from the Alexandria database: an optimized crystal structure of Pm5PrNd2Sm (PBE).

symmetry: No. 140

abc: 10.1433 10.1433 10.1433
angles: 128.04 128.04 76.56
Last column: nearest neighbours and their distance in Å.
Positions (direct):
Pm: 0.0000 0.0000 0.0000  4 Nd 3.55, 8 Pm 3.87
Pm: 0.0694 0.5694 0.9146  1 Nd 3.10, 1 Sm 3.16
Pm: 0.1548 0.0694 0.5000  1 Nd 3.10, 1 Sm 3.16
Pm: 0.3452 0.8452 0.9146  1 Nd 3.10, 1 Sm 3.16
Pm: 0.4306 0.3452 0.5000  1 Nd 3.10, 1 Sm 3.16
Pm: 0.5000 0.5000 0.0000  4 Nd 3.55, 8 Pm 3.87
Pm: 0.5694 0.6548 0.5000  1 Nd 3.10, 1 Sm 3.16
Pm: 0.6548 0.1548 0.0854  1 Nd 3.10, 1 Sm 3.16
Pm: 0.8452 0.9306 0.5000  1 Nd 3.10, 1 Sm 3.16
Pm: 0.9306 0.4306 0.0854  1 Nd 3.10, 1 Sm 3.16
Pr: 0.2500 0.2500 0.0000  10 Pm 3.65-3.98
Pr: 0.7500 0.7500 0.0000  10 Pm 3.65-3.98
Nd: 0.1181 0.3819 0.5000  1 Nd 2.97, 2 Pm 3.10
Nd: 0.3819 0.8819 0.2638  1 Nd 2.97, 2 Pm 3.10
Nd: 0.6181 0.1181 0.7362  1 Nd 2.97, 2 Pm 3.10
Nd: 0.8819 0.6181 0.5000  1 Nd 2.97, 2 Pm 3.10
Sm: 0.2500 0.7500 0.5000  4 Pm 3.16
Sm: 0.7500 0.2500 0.5000  4 Pm 3.16


# 4
Entry from the Alexandria database: an optimized crystal structure of Pm3Pr6Nd2Sm (PBE).

symmetry: No. 12

abc: 6.3952 6.3952 12.2017
angles: 95.04 95.04 120.02
Last column: nearest neighbours and their distance in Å.
Positions (direct):
Pm: 0.0000 0.0000 0.0000  6 Pr 3.68, 6 Pm 3.69
Pm: 0.3334 0.6666 0.0000  6 Pr 3.68, 6 Pm 3.69
Pm: 0.6666 0.3334 0.0000  6 Pr 3.68, 6 Pm 3.69
Pr: 0.0836 0.4165 0.2496  3 Pm 3.68, 1 Sm 3.68, 2 Nd 3.69, 6 Pr 3.69
Pr: 0.2505 0.2505 0.7505  3 Pm 3.68, 2 Nd 3.69, 6 Pr 3.69, 1 Sm 3.69
Pr: 0.4165 0.0836 0.2496  3 Pm 3.68, 1 Sm 3.68, 2 Nd 3.69, 6 Pr 3.69
Pr: 0.5835 0.9164 0.7504  3 Pm 3.68, 1 Sm 3.68, 2 Nd 3.69, 6 Pr 3.69
Pr: 0.7495 0.7495 0.2495  3 Pm 3.68, 2 Nd 3.69, 6 Pr 3.69, 1 Sm 3.69
Pr: 0.9164 0.5835 0.7504  3 Pm 3.68, 1 Sm 3.68, 2 Nd 3.69, 6 Pr 3.69
Nd: 0.1667 0.8333 0.5000  6 Pr 3.69, 3 Sm 3.69, 3 Nd 3.69
Nd: 0.8333 0.1667 0.5000  6 Pr 3.69, 3 Sm 3.69, 3 Nd 3.69
Sm: 0.5000 0.5000 0.5000  6 Pr 3.68-3.69, 6 Nd 3.69


Energy of formation from the pure elements / meV per atom: 6; 12; 253; 12
Fermi-level density of states / states/eV/f.u.: 11.88; 18.43; 12.69; 18.84
Mass density / Mg/m³: 6.95; 6.78; 6.89; 6.71